Record 1
# YBiN2O

An optimized crystal structure of YBiN2O (PBE-GGA, Alexandria).

## Properties
Formation energy from raw total energies (eV/atom): 0.1408
Magnetization (μB/atom): 0.403

abc: 4.460 4.460 4.296
angles: 90.00 90.00 90.00
Fractional coordinates of all 5 atoms:
N  0.000  0.500  0.000
N  0.500  0.000  0.000
Bi  0.500  0.500  0.500
Y  0.000  0.000  0.000
O  0.000  0.000  0.500

***

Record 2
# PmHo3Tl3

An optimized crystal structure of PmHo3Tl3 (PBE-GGA, Alexandria).

## Properties
Energy above the most stable polymorph in this dataset (meV per atom): 2.5
Magnetization (μB/atom): 0.000
Calculated formation energy (eV per atom): -0.2450

abc: 5.226 9.446 9.446
angles: 120.00 90.00 90.00
Fractional coordinates of all 14 atoms:
Tl  0.750  0.928  0.377
Tl  0.750  0.623  0.552
Tl  0.250  0.377  0.448
Tl  0.250  0.552  0.928
Tl  0.250  0.072  0.623
Tl  0.750  0.448  0.072
Pm  0.750  0.333  0.667
Pm  0.250  0.667  0.333
Ho  0.250  0.769  0.768
Ho  0.750  0.231  0.232
Ho  0.750  0.768  0.000
Ho  0.250  0.000  0.231
Ho  0.250  0.232  0.000
Ho  0.750  0.000  0.769

***

Record 3
# Ca2Al3Cu4

An optimized crystal structure of Ca2Al3Cu4 (PBE-GGA, Alexandria).

## Properties
Magnetization (μB/atom): 0.000
Calculated formation energy (eV per atom): -0.2372

abc: 5.637 7.138 8.341
angles: 90.00 109.75 90.00
Fractional coordinates of all 18 atoms:
Ca  0.899  0.402  0.799
Ca  0.601  0.902  0.201
Ca  0.101  0.598  0.201
Ca  0.399  0.098  0.799
Cu  0.831  0.003  0.663
Cu  0.669  0.503  0.337
Cu  0.677  0.750  0.853
Cu  0.331  0.497  0.663
Cu  0.823  0.250  0.147
Cu  0.177  0.750  0.853
Cu  0.323  0.250  0.147
Cu  0.169  0.997  0.337
Al  0.000  0.000  0.000
Al  0.487  0.250  0.474
Al  0.987  0.250  0.474
Al  0.500  0.500  0.000
Al  0.013  0.750  0.526
Al  0.513  0.750  0.526

***

Record 4
# Cd4SbRu

An optimized crystal structure of Cd4SbRu (PBE-GGA, Alexandria).

## Properties
Formation energy from raw total energies (eV/atom): 0.4155
Magnetization (μB/atom): 0.000

abc: 5.628 5.628 5.628
angles: 60.00 60.00 60.00
Fractional coordinates of all 6 atoms:
Cd  0.872  0.376  0.376
Cd  0.376  0.376  0.872
Cd  0.376  0.872  0.376
Cd  0.376  0.376  0.376
Ru  0.750  0.750  0.750
Sb  0.000  0.000  0.000